[1]
A plane-wave DFT calculation with PBE-GGA was carried out for a relaxed KPrSeO crystal.

Cell and atoms, written as extended XYZ:
```
8
Lattice="4.761 0.000 0.000 0.000 8.254 0.000 0.000 0.000 6.728" Properties=species:S:1:pos:R:3 pbc="T T T"
K 0.000 1.673 0.000
K 0.000 6.581 3.364
Pr 2.381 3.059 2.810
Pr 2.381 5.195 6.174
Se 0.000 1.599 3.493
Se 0.000 6.655 0.129
O 2.381 3.296 0.592
O 2.381 4.958 3.956
```

Output
VASP energy in eV/atom: -5.633
Size of the total moment in μB/f.u.: 0.001



[2]
A plane-wave DFT calculation with PBE-GGA was carried out for a relaxed CuI2 crystal.

Cell and atoms, written as extended XYZ:
```
3
Lattice="3.916 0.000 0.000 -1.958 3.391 0.000 0.000 0.000 6.943" Properties=species:S:1:pos:R:3 pbc="T T T"
Cu 0.000 0.000 0.000
I 0.000 2.261 1.597
I 1.958 1.130 5.346
```

Output
VASP energy in eV/atom: -2.287



[3]
A plane-wave DFT calculation with PBE-GGA was carried out for a relaxed KNaPdW crystal.

Cell and atoms, written as extended XYZ:
```
4
Lattice="0.000 3.662 3.662 3.662 0.000 3.662 3.662 3.662 0.000" Properties=species:S:1:pos:R:3 pbc="T T T"
K 0.000 0.000 0.000
Na 3.662 3.662 3.662
Pd 5.493 5.493 5.493
W 1.831 1.831 1.831
```

Output
VASP energy in eV/atom: -3.571
Size of the total moment in μB/f.u.: 4.425



[4]
A plane-wave DFT calculation with PBE-GGA was carried out for a relaxed Tl2Si3W2 crystal.

Cell and atoms, written as extended XYZ:
```
7
Lattice="1.617 -13.076 0.000 1.617 13.076 0.000 0.000 0.000 3.235" Properties=species:S:1:pos:R:3 pbc="T T T"
Tl 1.617 8.201 0.000
Tl 1.617 -8.201 0.000
Si 1.617 2.615 1.618
Si 1.617 0.000 1.618
Si 1.617 -2.615 1.618
W 1.617 11.670 0.000
W 1.617 -11.670 0.000
```

Output
VASP energy in eV/atom: -6.540
Size of the total moment in μB/f.u.: 0.014



[5]
A plane-wave DFT calculation with PBE-GGA was carried out for a relaxed HfMg2Co crystal.

Cell and atoms, written as extended XYZ:
```
4
Lattice="0.000 3.244 3.244 3.244 0.000 3.244 3.244 3.244 0.000" Properties=species:S:1:pos:R:3 pbc="T T T"
Hf 0.000 0.000 0.000
Mg 3.244 3.244 3.244
Mg 4.866 4.866 4.866
Co 1.622 1.622 1.622
```

Output
VASP energy in eV/atom: -4.949
Size of the total moment in μB/f.u.: 0.804



[6]
A plane-wave DFT calculation with PBE-GGA was carried out for a relaxed InCu3MoS4 crystal.

Cell and atoms, written as extended XYZ:
```
9
Lattice="5.790 0.000 0.000 0.000 5.790 0.000 0.000 0.000 5.790" Properties=species:S:1:pos:R:3 pbc="T T T"
In 0.000 0.000 0.000
Cu 0.000 2.895 2.895
Cu 2.895 0.000 2.895
Cu 2.895 2.895 0.000
Mo 2.895 2.895 2.895
S 1.569 1.569 1.569
S 1.569 4.220 4.220
S 4.220 1.569 4.220
S 4.220 4.220 1.569
```

Output
VASP energy in eV/atom: -4.744
Size of the total moment in μB/f.u.: 1.976



[7]
A plane-wave DFT calculation with PBE-GGA was carried out for a relaxed LaGaSnAu2 crystal.

Cell and atoms, written as extended XYZ:
```
10
Lattice="4.601 0.000 0.000 0.000 4.601 0.000 0.000 0.000 10.900" Properties=species:S:1:pos:R:3 pbc="T T T"
La 1.150 1.150 2.640
La 3.451 3.451 8.260
Ga 1.150 3.451 0.000
Ga 3.451 1.150 0.000
Sn 1.150 1.150 6.995
Sn 3.451 3.451 3.905
Au 1.150 1.150 9.666
Au 1.150 3.451 5.450
Au 3.451 1.150 5.450
Au 3.451 3.451 1.234
```

Output
VASP energy in eV/atom: -4.364
Size of the total moment in μB/f.u.: 0.004



[8]
A plane-wave DFT calculation with PBE-GGA was carried out for a relaxed LuSi2Pb crystal.

Cell and atoms, written as extended XYZ:
```
4
Lattice="0.000 3.557 3.557 3.557 0.000 3.557 3.557 3.557 0.000" Properties=species:S:1:pos:R:3 pbc="T T T"
Lu 0.000 0.000 0.000
Si 1.778 1.778 1.778
Si 3.557 3.557 3.557
Pb 5.335 5.335 5.335
```

Output
VASP energy in eV/atom: -4.463
Size of the total moment in μB/f.u.: 0.001



[9]
A plane-wave DFT calculation with PBE-GGA was carried out for a relaxed Nb4SnB3 crystal.

Cell and atoms, written as extended XYZ:
```
16
Lattice="3.289 0.000 0.000 -1.645 2.849 0.000 0.000 0.000 24.635" Properties=species:S:1:pos:R:3 pbc="T T T"
Nb 0.000 0.000 3.875
Nb 0.000 0.000 8.443
Nb 0.000 0.000 16.192
Nb 0.000 0.000 20.760
Nb 0.000 1.899 1.299
Nb 0.000 1.899 11.019
Nb 1.645 0.950 13.616
Nb 1.645 0.950 23.336
Sn 0.000 1.899 6.159
Sn 1.645 0.950 18.476
B 0.000 0.000 0.000
B 0.000 0.000 12.317
B 0.000 1.899 14.984
B 0.000 1.899 21.968
B 1.645 0.950 2.667
B 1.645 0.950 9.651
```

Output
VASP energy in eV/atom: -8.578
Size of the total moment in μB/f.u.: 0.009



[10]
A plane-wave DFT calculation with PBE-GGA was carried out for a relaxed GaFe2Sn crystal.

Cell and atoms, written as extended XYZ:
```
16
Lattice="6.012 0.000 0.000 0.000 6.012 0.000 0.000 0.000 6.012" Properties=species:S:1:pos:R:3 pbc="T T T"
Ga 0.000 0.000 0.000
Ga 0.000 0.000 3.006
Ga 0.000 3.006 0.000
Ga 3.006 0.000 0.000
Fe 1.453 1.453 1.453
Fe 1.453 1.453 4.558
Fe 1.453 4.558 1.453
Fe 1.453 4.558 4.558
Fe 4.558 1.453 1.453
Fe 4.558 1.453 4.558
Fe 4.558 4.558 1.453
Fe 4.558 4.558 4.558
Sn 0.000 3.006 3.006
Sn 3.006 0.000 3.006
Sn 3.006 3.006 0.000
Sn 3.006 3.006 3.006
```

Output
VASP energy in eV/atom: -5.724
Size of the total moment in μB/f.u.: 2.408



[11]
A plane-wave DFT calculation with PBE-GGA was carried out for a relaxed MgReNiPb crystal.

Cell and atoms, written as extended XYZ:
```
4
Lattice="0.000 3.256 3.256 3.256 0.000 3.256 3.256 3.256 0.000" Properties=species:S:1:pos:R:3 pbc="T T T"
Mg 0.000 0.000 0.000
Re 4.884 4.884 4.884
Ni 3.256 3.256 3.256
Pb 1.628 1.628 1.628
```

Output
VASP energy in eV/atom: -5.025
Size of the total moment in μB/f.u.: 2.465



[12]
A plane-wave DFT calculation with PBE-GGA was carried out for a relaxed Y2Co2B crystal.

Cell and atoms, written as extended XYZ:
```
5
Lattice="-1.681 1.681 7.108 1.681 -1.681 7.108 1.681 1.681 -7.108" Properties=species:S:1:pos:R:3 pbc="T T T"
Y 0.000 0.000 1.404
Y 0.000 0.000 12.813
Co 1.681 0.000 3.554
Co 0.000 1.681 3.554
B 0.000 0.000 7.108
```

Output
VASP energy in eV/atom: -6.433
Size of the total moment in μB/f.u.: 2.201